(1)
## NaAuIN2 (PBE)

Data for crystalline NaAuIN2 at its relaxed geometry.

extended XYZ file:
```
5
Lattice="4.1467 0.0000 0.0000 0.0000 4.1467 0.0000 0.0000 0.0000 7.8230" Properties=species:S:1:pos:R:3 pbc="T T T"
Na 0.0000 0.0000 0.0000
Au 2.0733 2.0733 3.9115
I 2.0733 2.0733 0.0000
N 0.0000 2.0733 3.9115
N 2.0733 0.0000 3.9115
```

- ΔE_f (raw): 1.09 eV per atom
- Energy relative to the lowest polymorph listed for this composition: 0.000 eV/atom


(2)
## NaAuIN2 (PBE)

Data for crystalline NaAuIN2 at its relaxed geometry.

extended XYZ file:
```
5
Lattice="4.4515 0.0000 0.0000 0.0000 4.4515 0.0000 0.0000 0.0000 6.6623" Properties=species:S:1:pos:R:3 pbc="T T T"
Na 0.0000 0.0000 0.0000
Au 2.2257 2.2257 3.3311
I 0.0000 0.0000 3.3311
N 0.0000 2.2257 0.0000
N 2.2257 0.0000 0.0000
```

- ΔE_f (raw): 1.81 eV per atom
- Energy relative to the lowest polymorph listed for this composition: 0.723 eV/atom


(3)
## NiAuIN2 (PBE)

Data for crystalline NiAuIN2 at its relaxed geometry.

extended XYZ file:
```
5
Lattice="3.9050 0.0000 0.0000 0.0000 3.9050 0.0000 0.0000 0.0000 8.2088" Properties=species:S:1:pos:R:3 pbc="T T T"
Ni 0.0000 0.0000 0.0000
Au 1.9525 1.9525 4.1044
I 1.9525 1.9525 0.0000
N 0.0000 1.9525 4.1044
N 1.9525 0.0000 4.1044
```

- ΔE_f (raw): 1.74 eV per atom
- Energy relative to the lowest polymorph listed for this composition: 0.391 eV/atom


(4)
## NiAuIN2 (PBE)

Data for crystalline NiAuIN2 at its relaxed geometry.

extended XYZ file:
```
5
Lattice="3.7405 0.0000 0.0000 0.0000 3.7405 0.0000 0.0000 0.0000 7.8015" Properties=species:S:1:pos:R:3 pbc="T T T"
Ni 0.0000 0.0000 0.0000
Au 1.8703 1.8703 3.9008
I 0.0000 0.0000 3.9008
N 0.0000 1.8703 0.0000
N 1.8703 0.0000 0.0000
```

- ΔE_f (raw): 1.35 eV per atom
- Energy relative to the lowest polymorph listed for this composition: 0.000 eV/atom


(5)
## AuINO2 (PBE)

Data for crystalline AuINO2 at its relaxed geometry.

extended XYZ file:
```
5
Lattice="3.8189 0.0000 0.0000 0.0000 3.8189 0.0000 0.0000 0.0000 8.2296" Properties=species:S:1:pos:R:3 pbc="T T T"
Au 0.0000 0.0000 0.0000
I 0.0000 0.0000 4.1148
N 1.9094 1.9094 4.1148
O 0.0000 1.9094 0.0000
O 1.9094 0.0000 0.0000
```

- ΔE_f (raw): 1.27 eV per atom


(6)
## AuINO2 (PBE)

Data for crystalline AuINO2 at its relaxed geometry.

extended XYZ file:
```
5
Lattice="4.1178 0.0000 0.0000 0.0000 4.1178 0.0000 0.0000 0.0000 4.1971" Properties=species:S:1:pos:R:3 pbc="T T T"
Au 0.0000 0.0000 0.0000
I 2.0589 2.0589 2.0985
N 0.0000 0.0000 2.0985
O 0.0000 2.0589 0.0000
O 2.0589 0.0000 0.0000
```

- ΔE_f (raw): 1.21 eV per atom


(7)
## AuINO2 (PBE)

Data for crystalline AuINO2 at its relaxed geometry.

extended XYZ file:
```
5
Lattice="3.9729 0.0000 0.0000 0.0000 3.9729 0.0000 0.0000 0.0000 4.3381" Properties=species:S:1:pos:R:3 pbc="T T T"
Au 0.0000 0.0000 0.0000
I 1.9865 1.9865 0.0000
N 1.9865 1.9865 2.1690
O 0.0000 1.9865 2.1690
O 1.9865 0.0000 2.1690
```

- ΔE_f (raw): 1.48 eV per atom


(8)
## AuIN2O (PBE)

Data for crystalline AuIN2O at its relaxed geometry.

extended XYZ file:
```
5
Lattice="4.0242 0.0000 0.0000 0.0000 4.0242 0.0000 0.0000 0.0000 4.8875" Properties=species:S:1:pos:R:3 pbc="T T T"
Au 0.0000 0.0000 0.0000
I 2.0121 2.0121 0.0000
N 0.0000 2.0121 2.4438
N 2.0121 0.0000 2.4438
O 2.0121 2.0121 2.4438
```

- ΔE_f (raw): 2.25 eV per atom


(9)
## AuINO2 (PBE)

Data for crystalline AuINO2 at its relaxed geometry.

extended XYZ file:
```
5
Lattice="3.9445 0.0000 0.0000 0.0000 3.9445 0.0000 0.0000 0.0000 4.6773" Properties=species:S:1:pos:R:3 pbc="T T T"
Au 0.0000 0.0000 0.0000
I 1.9723 1.9723 2.3387
N 1.9723 1.9723 0.0000
O 0.0000 1.9723 2.3387
O 1.9723 0.0000 2.3387
```

- ΔE_f (raw): 1.05 eV per atom


(10)
## AuIN2O (PBE)

Data for crystalline AuIN2O at its relaxed geometry.

extended XYZ file:
```
5
Lattice="3.8498 0.0000 0.0000 0.0000 3.8498 0.0000 0.0000 0.0000 8.2253" Properties=species:S:1:pos:R:3 pbc="T T T"
Au 0.0000 0.0000 0.0000
I 0.0000 0.0000 4.1127
N 0.0000 1.9249 0.0000
N 1.9249 0.0000 0.0000
O 1.9249 1.9249 4.1127
```

- ΔE_f (raw): 1.86 eV per atom


(11)
## AuIN2O (PBE)

Data for crystalline AuIN2O at its relaxed geometry.

extended XYZ file:
```
5
Lattice="4.1583 0.0000 0.0000 0.0000 4.1583 0.0000 0.0000 0.0000 4.0545" Properties=species:S:1:pos:R:3 pbc="T T T"
Au 0.0000 0.0000 0.0000
I 2.0791 2.0791 2.0272
N 0.0000 2.0791 0.0000
N 2.0791 0.0000 0.0000
O 0.0000 0.0000 2.0272
```

- ΔE_f (raw): 1.82 eV per atom


(12)
## AuIN2O (PBE)

Data for crystalline AuIN2O at its relaxed geometry.

extended XYZ file:
```
5
Lattice="4.1703 0.0000 0.0000 0.0000 4.1703 0.0000 0.0000 0.0000 3.9471" Properties=species:S:1:pos:R:3 pbc="T T T"
Au 0.0000 0.0000 0.0000
I 2.0851 2.0851 1.9736
N 0.0000 2.0851 1.9736
N 2.0851 0.0000 1.9736
O 2.0851 2.0851 0.0000
```

- ΔE_f (raw): 1.82 eV per atom


(13)
## PAuI2N (PBE)

Data for crystalline PAuI2N at its relaxed geometry.

extended XYZ file:
```
5
Lattice="6.0506 0.0000 0.0000 0.0000 6.0506 0.0000 0.0000 0.0000 3.2892" Properties=species:S:1:pos:R:3 pbc="T T T"
P 0.0000 0.0000 0.0000
Au 3.0253 3.0253 1.6446
I 0.0000 3.0253 0.0000
I 3.0253 0.0000 0.0000
N 0.0000 0.0000 1.6446
```

- ΔE_f (raw): 0.67 eV per atom
- Energy relative to the lowest polymorph listed for this composition: 0.000 eV/atom


(14)
## PAuIN2 (PBE)

Data for crystalline PAuIN2 at its relaxed geometry.

extended XYZ file:
```
5
Lattice="3.6769 0.0000 0.0000 0.0000 3.6769 0.0000 0.0000 0.0000 7.6039" Properties=species:S:1:pos:R:3 pbc="T T T"
P 0.0000 0.0000 0.0000
Au 1.8384 1.8384 3.8020
I 0.0000 0.0000 3.8020
N 0.0000 1.8384 0.0000
N 1.8384 0.0000 0.0000
```

- ΔE_f (raw): 1.17 eV per atom
- Energy relative to the lowest polymorph listed for this composition: 0.000 eV/atom


(15)
## PAuI2N (PBE)

Data for crystalline PAuI2N at its relaxed geometry.

extended XYZ file:
```
5
Lattice="5.8934 0.0000 0.0000 0.0000 5.8934 0.0000 0.0000 0.0000 3.7777" Properties=species:S:1:pos:R:3 pbc="T T T"
P 0.0000 0.0000 0.0000
Au 2.9467 2.9467 1.8888
I 0.0000 2.9467 1.8888
I 2.9467 0.0000 1.8888
N 2.9467 2.9467 0.0000
```

- ΔE_f (raw): 1.33 eV per atom
- Energy relative to the lowest polymorph listed for this composition: 0.662 eV/atom


(16)
## PAuIN2 (PBE)

Data for crystalline PAuIN2 at its relaxed geometry.

extended XYZ file:
```
5
Lattice="3.9704 0.0000 0.0000 0.0000 3.9704 0.0000 0.0000 0.0000 8.4881" Properties=species:S:1:pos:R:3 pbc="T T T"
P 0.0000 0.0000 0.0000
Au 1.9852 1.9852 4.2440
I 1.9852 1.9852 0.0000
N 0.0000 1.9852 4.2440
N 1.9852 0.0000 4.2440
```

- ΔE_f (raw): 1.85 eV per atom
- Energy relative to the lowest polymorph listed for this composition: 0.676 eV/atom


(17)
## PbAuIN2 (PBE)

Data for crystalline PbAuIN2 at its relaxed geometry.

extended XYZ file:
```
5
Lattice="4.3300 0.0000 0.0000 0.0000 4.3300 0.0000 0.0000 0.0000 7.2169" Properties=species:S:1:pos:R:3 pbc="T T T"
Pb 0.0000 0.0000 0.0000
Au 2.1650 2.1650 3.6084
I 2.1650 2.1650 0.0000
N 0.0000 2.1650 3.6084
N 2.1650 0.0000 3.6084
```

- ΔE_f (raw): 1.59 eV per atom
- Energy relative to the lowest polymorph listed for this composition: 0.000 eV/atom


(18)
## PbAuIN2 (PBE)

Data for crystalline PbAuIN2 at its relaxed geometry.

extended XYZ file:
```
5
Lattice="4.3553 0.0000 0.0000 0.0000 4.3553 0.0000 0.0000 0.0000 7.1194" Properties=species:S:1:pos:R:3 pbc="T T T"
Pb 0.0000 0.0000 0.0000
Au 2.1776 2.1776 3.5597
I 0.0000 0.0000 3.5597
N 0.0000 2.1776 0.0000
N 2.1776 0.0000 0.0000
```

- ΔE_f (raw): 1.63 eV per atom
- Energy relative to the lowest polymorph listed for this composition: 0.048 eV/atom


(19)
## PdAuIN2 (PBE)

Data for crystalline PdAuIN2 at its relaxed geometry.

extended XYZ file:
```
5
Lattice="3.9321 0.0000 0.0000 0.0000 3.9321 0.0000 0.0000 0.0000 8.6457" Properties=species:S:1:pos:R:3 pbc="T T T"
Pd 0.0000 0.0000 0.0000
Au 1.9661 1.9661 4.3228
I 0.0000 0.0000 4.3228
N 0.0000 1.9661 0.0000
N 1.9661 0.0000 0.0000
```

- ΔE_f (raw): 1.38 eV per atom
- Energy relative to the lowest polymorph listed for this composition: 0.000 eV/atom


(20)
## PdAuIN2 (PBE)

Data for crystalline PdAuIN2 at its relaxed geometry.

extended XYZ file:
```
5
Lattice="3.8674 0.0000 0.0000 0.0000 3.8674 0.0000 0.0000 0.0000 8.1877" Properties=species:S:1:pos:R:3 pbc="T T T"
Pd 0.0000 0.0000 0.0000
Au 1.9337 1.9337 4.0939
I 1.9337 1.9337 0.0000
N 0.0000 1.9337 4.0939
N 1.9337 0.0000 4.0939
```

- ΔE_f (raw): 1.59 eV per atom
- Energy relative to the lowest polymorph listed for this composition: 0.215 eV/atom